Record 1
CaMgP2 | SCAN | PBEsol geometry

Symmetry = Immm
Excess energy over the best structure of this formula in the dataset = 0.097 eV/atom

POSCAR file:
```
CaMgP2
1.0
-2.247 2.273 3.669
2.247 -2.273 3.669
2.247 2.273 -3.669
Ca Mg P
1 1 2
Direct
0.000 0.000 0.000
0.500 0.500 0.000
0.251 0.751 0.500
0.749 0.249 0.500
```



Record 2
CaMg2P2 | SCAN | PBEsol geometry

Symmetry = P4/mbm

POSCAR file:
```
CaMg2P2
1.0
7.558 0.000 0.000
0.000 7.558 0.000
0.000 0.000 3.458
Ca Mg P
2 4 4
Direct
0.000 0.000 0.000
0.500 0.500 0.000
0.136 0.364 0.500
0.364 0.864 0.500
0.636 0.136 0.500
0.864 0.636 0.500
0.164 0.664 0.000
0.336 0.164 0.000
0.664 0.836 0.000
0.836 0.336 0.000
```



Record 3
Ca2MgP | SCAN | PBEsol geometry

Symmetry = I-42d

POSCAR file:
```
Ca2MgP
1.0
-4.111 4.111 3.466
4.111 -4.111 3.466
4.111 4.111 -3.466
Ca Mg P
4 2 2
Direct
0.064 0.625 0.939
0.375 0.314 0.439
0.686 0.125 0.061
0.875 0.936 0.561
0.250 0.750 0.500
0.500 0.500 0.000
0.000 0.000 0.000
0.750 0.250 0.500
```



Record 4
CaMg4P | SCAN | PBEsol geometry

Symmetry = F-43m

POSCAR file:
```
CaMg4P
1.0
0.000 4.131 4.131
4.131 0.000 4.131
4.131 4.131 0.000
Ca Mg P
1 4 1
Direct
0.000 0.000 0.000
0.376 0.376 0.376
0.376 0.376 0.873
0.376 0.873 0.376
0.873 0.376 0.376
0.750 0.750 0.750
```



Record 5
Ca2MgP | SCAN | PBEsol geometry

Symmetry = Fm-3m

POSCAR file:
```
Ca2MgP
1.0
0.000 3.652 3.652
3.652 0.000 3.652
3.652 3.652 0.000
Ca Mg P
2 1 1
Direct
0.250 0.250 0.250
0.750 0.750 0.750
0.000 0.000 0.000
0.500 0.500 0.500
```



Record 6
CaMgP2 | SCAN | PBEsol geometry

Symmetry = C2/m
Excess energy over the best structure of this formula in the dataset = 0.000 eV/atom

POSCAR file:
```
CaMgP2
1.0
3.893 -1.939 0.000
3.893 1.939 0.000
-1.827 0.000 5.274
Ca Mg P
1 1 2
Direct
0.000 0.000 0.000
0.500 0.500 0.500
0.243 0.243 0.706
0.757 0.757 0.294
```



| no. | magnetization (Bohr magnetons per cell) | ΔH_f (0 K) (eV per atom) |
| --- | --- | --- |
| 1 | 0.0 | -0.5276 |
| 2 | 0.0 | -0.5644 |
| 3 | 0.6 | -0.3536 |
| 4 | 0.0 | 0.1520 |
| 5 | 0.0 | -0.3544 |
| 6 | 0.0 | -0.6249 |